Below is a relaxed Pa14TaTi crystal, with properties calculated at the PBE level.

## Properties
Energy relative to the elements, eV per formula unit: 1.233

a b c (Å): 6.3758 6.3758 9.5526
angles (deg): 90.00 90.00 90.03
Closest atoms and distances in Å follow each position.
Fractional positions:
Pa 0.8745 0.6247 0.7423  10 Pa 3.18-3.34, 1 Ti 3.23, 1 Ta 3.23
Pa 0.8745 0.6247 0.2577  10 Pa 3.18-3.34, 1 Ti 3.23, 1 Ta 3.23
Pa 0.3753 0.1255 0.2577  10 Pa 3.18-3.34, 1 Ti 3.23, 1 Ta 3.23
Pa 0.6250 0.3750 0.0000  12 Pa 3.19-3.34
Pa 0.3755 0.6245 0.2577  10 Pa 3.18-3.34, 1 Ti 3.23, 1 Ta 3.23
Pa 0.1250 0.3747 0.5000  2 Ta 3.19, 2 Ti 3.19, 8 Pa 3.23
Pa 0.1248 0.3751 0.0000  12 Pa 3.19-3.34
Pa 0.3755 0.6245 0.7423  10 Pa 3.18-3.34, 1 Ti 3.23, 1 Ta 3.23
Pa 0.8745 0.1255 0.2579  10 Pa 3.18-3.34, 1 Ti 3.23, 1 Ta 3.24
Pa 0.6253 0.8750 0.5000  2 Ta 3.19, 2 Ti 3.19, 8 Pa 3.23
Pa 0.3753 0.1255 0.7423  10 Pa 3.18-3.34, 1 Ti 3.23, 1 Ta 3.23
Pa 0.6249 0.8752 0.0000  12 Pa 3.19-3.34
Pa 0.1248 0.8752 0.0000  12 Pa 3.19-3.34
Pa 0.8745 0.1255 0.7421  10 Pa 3.18-3.34, 1 Ti 3.23, 1 Ta 3.24
Ti 0.6252 0.3748 0.5000  12 Pa 3.19-3.23
Ta 0.1255 0.8745 0.5000  12 Pa 3.19-3.24